TbPd8Pb2 (PBE, optimized geometry); SG = No. 12; magnetic moment = 0.00 μB/atom; E_form = -0.3243 eV per atom; crystal system = monoclinic
1.0
4.8965 -0.4507 -0.6764
-1.4919 7.3367 -0.6989
-1.4919 -3.4706 6.5015
Pd Pb Tb
8 2 1
Cartesian
1.8534 1.4368 4.8239
0.0592 1.9786 0.3023
2.1080 1.3272 1.9920
1.8534 3.8984 3.1838
0.9563 4.7843 0.5133
0.9563 -1.3689 4.6129
0.0592 -0.4831 1.9424
-0.1953 2.0882 3.1342
-1.4919 -0.1270 4.2738
-1.4919 3.9931 1.5288
2.4483 -0.2253 -0.3382